The following is a PBE calculation of a relaxed KGa3Si crystal, from the Alexandria database. Values from VASP.

Geometry as Quantum ESPRESSO input:
```
&SYSTEM
  ibrav = 0, nat = 5, ntyp = 3
/
ATOMIC_SPECIES
K 39.10 K.upf
Ga 69.72 Ga.upf
Si 28.09 Si.upf
CELL_PARAMETERS angstrom
5.574 0.000 0.000
0.000 5.574 0.000
0.000 0.000 5.574
ATOMIC_POSITIONS angstrom
K 0.000 0.000 0.000
Ga 0.000 0.000 2.787
Ga 0.000 2.787 0.000
Ga 2.787 0.000 0.000
Si 2.787 2.787 2.787
```

Values from the calculation:
ΔE_f (raw), eV/atom: 1.39
Space group: Pm-3m, No. 221
Theoretical density, Mg/m³: 2.65
DOS(E_F), states/eV/f.u.: 2.77
M_tot, μB/f.u.: 0.00
Final energy, eV/atom: -1.73